The following is a DFT calculation (PBE) of a geometry-optimized Bi2BMoRu structure.

a b c (Å): 5.382 3.926 5.382
angles (deg): 90.00 90.00 90.00
Positions (direct):
Ru1 0.000 0.000 0.000
Mo1 0.500 0.500 0.500
B1 0.000 0.500 0.000
Bi1 0.000 0.000 0.500
Bi2 0.500 0.000 0.000

Properties
uncorrected energy: -5.764 eV per atom
ρ: 9.14 g/cm3
ΔE_f: 1.14 eV per atom
magnetic moment: 3.24 μB/f.u.